Density functional theory data (GGA-PBE) for a geometry-optimized CuPAu structure.

Output
SG   P3m1 (156)
ΔE to the lowest computed polymorph   0.074 eV per atom
Formation enthalpy at 0 K   0.194 eV per atom
Size of the total moment   0.0 μB/cell

Lattice parameters (Å, degrees): 2.940 2.940 6.125 90.00 90.00 120.00
Fractional coordinates of all 3 atoms:
Au: 0.000 0.000 0.011
Cu: 0.667 0.333 0.359
P: 0.333 0.667 0.631